Record 1
# PBE-GGA K2TiSi6O15, optimized geometry
# VASP energy: -7.6283 eV per atom
# space group: No. 2
# energy above the lowest structure with this stoichiometry: 2 meV per atom
# magnetic moment: 0.00 μB per cell
data_K2TiSi6O15
_cell_length_a 7.031
_cell_length_b 7.340
_cell_length_c 7.607
_cell_angle_alpha 99.12
_cell_angle_beta 105.95
_cell_angle_gamma 112.70
_symmetry_space_group_name_H-M 'P 1'
_symmetry_Int_Tables_number 1
loop_
_symmetry_equiv_pos_as_xyz
'x,y,z'
loop_
_atom_site_label
_atom_site_type_symbol
_atom_site_fract_x
_atom_site_fract_y
_atom_site_fract_z
K1 K 0.215 0.286 0.178
K2 K 0.785 0.714 0.822
Ti1 Ti 0.500 0.000 0.000
Si1 Si 0.183 0.502 0.688
Si2 Si 0.200 0.814 0.258
Si3 Si 0.354 0.168 0.631
Si4 Si 0.646 0.832 0.369
Si5 Si 0.800 0.186 0.742
Si6 Si 0.817 0.498 0.312
O1 O 0.000 0.500 0.500
O2 O 0.047 0.388 0.817
O3 O 0.203 0.990 0.422
O4 O 0.239 0.901 0.083
O5 O 0.293 0.360 0.610
O6 O 0.330 0.088 0.811
O7 O 0.378 0.728 0.813
O8 O 0.384 0.735 0.352
O9 O 0.616 0.265 0.648
O10 O 0.622 0.272 0.187
O11 O 0.670 0.912 0.189
O12 O 0.707 0.640 0.390
O13 O 0.761 0.099 0.917
O14 O 0.797 0.010 0.578
O15 O 0.953 0.612 0.183

Record 2
# PBE-GGA KTlSi2O, optimized geometry
# VASP energy: -3.1127 eV per atom
# space group: No. 123
# magnetic moment: 0.47 μB per cell
data_KTlSi2O
_cell_length_a 5.424
_cell_length_b 5.424
_cell_length_c 4.569
_cell_angle_alpha 90.00
_cell_angle_beta 90.00
_cell_angle_gamma 90.00
_symmetry_space_group_name_H-M 'P 1'
_symmetry_Int_Tables_number 1
loop_
_symmetry_equiv_pos_as_xyz
'x,y,z'
loop_
_atom_site_label
_atom_site_type_symbol
_atom_site_fract_x
_atom_site_fract_y
_atom_site_fract_z
K1 K 0.000 0.000 0.000
Tl1 Tl 0.500 0.500 0.500
Si1 Si 0.000 0.500 0.500
Si2 Si 0.500 0.000 0.500
O1 O 0.500 0.500 0.000

Record 3
# PBE-GGA K2TlSi2O6, optimized geometry
# VASP energy: -5.9561 eV per atom
# space group: No. 166
# magnetic moment: 0.00 μB per cell
data_K2TlSi2O6
_cell_length_a 7.194
_cell_length_b 7.194
_cell_length_c 7.194
_cell_angle_alpha 48.68
_cell_angle_beta 48.68
_cell_angle_gamma 48.68
_symmetry_space_group_name_H-M 'P 1'
_symmetry_Int_Tables_number 1
loop_
_symmetry_equiv_pos_as_xyz
'x,y,z'
loop_
_atom_site_label
_atom_site_type_symbol
_atom_site_fract_x
_atom_site_fract_y
_atom_site_fract_z
K1 K 0.201 0.201 0.201
K2 K 0.799 0.799 0.799
Tl1 Tl 0.000 0.000 0.000
Si1 Si 0.419 0.419 0.419
Si2 Si 0.581 0.581 0.581
O1 O 0.263 0.263 0.729
O2 O 0.263 0.729 0.263
O3 O 0.271 0.737 0.737
O4 O 0.729 0.263 0.263
O5 O 0.737 0.271 0.737
O6 O 0.737 0.737 0.271

Record 4
# PBE-GGA K3Tm3SiO8, optimized geometry
# VASP energy: -6.8222 eV per atom
# space group: No. 166
# magnetic moment: 0.00 μB per cell
data_K3Tm3SiO8
_cell_length_a 7.324
_cell_length_b 7.324
_cell_length_c 7.324
_cell_angle_alpha 52.98
_cell_angle_beta 52.98
_cell_angle_gamma 52.98
_symmetry_space_group_name_H-M 'P 1'
_symmetry_Int_Tables_number 1
loop_
_symmetry_equiv_pos_as_xyz
'x,y,z'
loop_
_atom_site_label
_atom_site_type_symbol
_atom_site_fract_x
_atom_site_fract_y
_atom_site_fract_z
K1 K 0.000 0.500 0.500
K2 K 0.500 0.000 0.500
K3 K 0.500 0.500 0.000
Tm1 Tm 0.000 0.000 0.500
Tm2 Tm 0.000 0.500 0.000
Tm3 Tm 0.500 0.000 0.000
Si1 Si 0.500 0.500 0.500
O1 O 0.227 0.227 0.227
O2 O 0.270 0.696 0.696
O3 O 0.304 0.304 0.730
O4 O 0.304 0.730 0.304
O5 O 0.696 0.270 0.696
O6 O 0.696 0.696 0.270
O7 O 0.730 0.304 0.304
O8 O 0.773 0.773 0.773

Record 5
# PBE-GGA K3TmSi2O7, optimized geometry
# VASP energy: -6.8255 eV per atom
# space group: No. 193
# magnetic moment: 0.00 μB per cell
data_K3TmSi2O7
_cell_length_a 9.877
_cell_length_b 9.877
_cell_length_c 14.398
_cell_angle_alpha 90.00
_cell_angle_beta 90.00
_cell_angle_gamma 120.00
_symmetry_space_group_name_H-M 'P 1'
_symmetry_Int_Tables_number 1
loop_
_symmetry_equiv_pos_as_xyz
'x,y,z'
loop_
_atom_site_label
_atom_site_type_symbol
_atom_site_fract_x
_atom_site_fract_y
_atom_site_fract_z
K1 K 0.000 0.000 0.000
K2 K 0.000 0.000 0.500
K3 K 0.000 0.332 0.092
K4 K 0.000 0.332 0.408
K5 K 0.000 0.668 0.592
K6 K 0.000 0.668 0.908
K7 K 0.332 0.000 0.092
K8 K 0.332 0.000 0.408
K9 K 0.332 0.332 0.592
K10 K 0.332 0.332 0.908
K11 K 0.333 0.667 0.250
K12 K 0.333 0.667 0.750
K13 K 0.667 0.333 0.250
K14 K 0.667 0.333 0.750
K15 K 0.668 0.000 0.592
K16 K 0.668 0.000 0.908
K17 K 0.668 0.668 0.092
K18 K 0.668 0.668 0.408
Tm1 Tm 0.000 0.000 0.250
Tm2 Tm 0.000 0.000 0.750
Tm3 Tm 0.333 0.667 0.000
Tm4 Tm 0.333 0.667 0.500
Tm5 Tm 0.667 0.333 0.000
Tm6 Tm 0.667 0.333 0.500
Si1 Si 0.000 0.342 0.642
Si2 Si 0.000 0.342 0.858
Si3 Si 0.000 0.658 0.142
Si4 Si 0.000 0.658 0.358
Si5 Si 0.342 0.000 0.642
Si6 Si 0.342 0.000 0.858
Si7 Si 0.342 0.342 0.142
Si8 Si 0.342 0.342 0.358
Si9 Si 0.658 0.000 0.142
Si10 Si 0.658 0.000 0.358
Si11 Si 0.658 0.658 0.642
Si12 Si 0.658 0.658 0.858
O1 O 0.000 0.177 0.649
O2 O 0.000 0.177 0.851
O3 O 0.000 0.410 0.750
O4 O 0.000 0.590 0.250
O5 O 0.000 0.823 0.149
O6 O 0.000 0.823 0.351
O7 O 0.157 0.479 0.591
O8 O 0.157 0.479 0.909
O9 O 0.157 0.678 0.091
O10 O 0.157 0.678 0.409
O11 O 0.177 0.000 0.649
O12 O 0.177 0.000 0.851
O13 O 0.177 0.177 0.149
O14 O 0.177 0.177 0.351
O15 O 0.322 0.479 0.091
O16 O 0.322 0.479 0.409
O17 O 0.322 0.843 0.591
O18 O 0.322 0.843 0.909
O19 O 0.410 0.000 0.750
O20 O 0.410 0.410 0.250
O21 O 0.479 0.157 0.591
O22 O 0.479 0.157 0.909
O23 O 0.479 0.322 0.091
O24 O 0.479 0.322 0.409
O25 O 0.521 0.678 0.591
O26 O 0.521 0.678 0.909
O27 O 0.521 0.843 0.091
O28 O 0.521 0.843 0.409
O29 O 0.590 0.000 0.250
O30 O 0.590 0.590 0.750
O31 O 0.678 0.157 0.091
O32 O 0.678 0.157 0.409
O33 O 0.678 0.521 0.591
O34 O 0.678 0.521 0.909
O35 O 0.823 0.000 0.149
O36 O 0.823 0.000 0.351
O37 O 0.823 0.823 0.649
O38 O 0.823 0.823 0.851
O39 O 0.843 0.322 0.591
O40 O 0.843 0.322 0.909
O41 O 0.843 0.521 0.091
O42 O 0.843 0.521 0.409

Record 6
# PBE-GGA K2TmSiO4, optimized geometry
# VASP energy: -6.1893 eV per atom
# space group: No. 70
# magnetic moment: 0.00 μB per cell
data_K2TmSiO4
_cell_length_a 12.944
_cell_length_b 11.688
_cell_length_c 6.812
_cell_angle_alpha 84.42
_cell_angle_beta 63.99
_cell_angle_gamma 31.59
_symmetry_space_group_name_H-M 'P 1'
_symmetry_Int_Tables_number 1
loop_
_symmetry_equiv_pos_as_xyz
'x,y,z'
loop_
_atom_site_label
_atom_site_type_symbol
_atom_site_fract_x
_atom_site_fract_y
_atom_site_fract_z
K1 K 0.059 0.059 0.691
K2 K 0.309 0.309 0.941
K3 K 0.691 0.691 0.059
K4 K 0.941 0.941 0.309
Tm1 Tm 0.125 0.125 0.125
Tm2 Tm 0.875 0.875 0.875
Si1 Si 0.375 0.375 0.375
Si2 Si 0.625 0.625 0.625
O1 O 0.068 0.608 0.523
O2 O 0.300 0.523 0.608
O3 O 0.392 0.932 0.700
O4 O 0.477 0.700 0.932
O5 O 0.523 0.300 0.068
O6 O 0.608 0.068 0.300
O7 O 0.700 0.477 0.392
O8 O 0.932 0.392 0.477

Record 7
# PBE-GGA KTmSiO4, optimized geometry
# VASP energy: -7.3182 eV per atom
# space group: No. 11
# magnetic moment: 0.00 μB per cell
data_KTmSiO4
_cell_length_a 5.525
_cell_length_b 5.649
_cell_length_c 7.307
_cell_angle_alpha 90.00
_cell_angle_beta 106.61
_cell_angle_gamma 90.00
_symmetry_space_group_name_H-M 'P 1'
_symmetry_Int_Tables_number 1
loop_
_symmetry_equiv_pos_as_xyz
'x,y,z'
loop_
_atom_site_label
_atom_site_type_symbol
_atom_site_fract_x
_atom_site_fract_y
_atom_site_fract_z
K1 K 0.187 0.250 0.428
K2 K 0.813 0.750 0.572
Tm1 Tm 0.289 0.250 0.958
Tm2 Tm 0.711 0.750 0.042
Si1 Si 0.249 0.750 0.161
Si2 Si 0.751 0.250 0.839
O1 O 0.058 0.750 0.942
O2 O 0.063 0.750 0.299
O3 O 0.448 0.525 0.181
O4 O 0.448 0.975 0.181
O5 O 0.552 0.025 0.819
O6 O 0.552 0.475 0.819
O7 O 0.937 0.250 0.701
O8 O 0.942 0.250 0.058

Record 8
# PBE-GGA K2USiO6, optimized geometry
# VASP energy: -7.4030 eV per atom
# space group: No. 225
# magnetic moment: 0.00 μB per cell
data_K2USiO6
_cell_length_a 5.600
_cell_length_b 5.600
_cell_length_c 5.600
_cell_angle_alpha 60.00
_cell_angle_beta 60.00
_cell_angle_gamma 60.00
_symmetry_space_group_name_H-M 'P 1'
_symmetry_Int_Tables_number 1
loop_
_symmetry_equiv_pos_as_xyz
'x,y,z'
loop_
_atom_site_label
_atom_site_type_symbol
_atom_site_fract_x
_atom_site_fract_y
_atom_site_fract_z
K1 K 0.250 0.250 0.250
K2 K 0.750 0.750 0.750
U1 U 0.000 0.000 0.000
Si1 Si 0.500 0.500 0.500
O1 O 0.267 0.267 0.733
O2 O 0.267 0.733 0.267
O3 O 0.267 0.733 0.733
O4 O 0.733 0.267 0.267
O5 O 0.733 0.267 0.733
O6 O 0.733 0.733 0.267

Record 9
# PBE-GGA KU2SiO8, optimized geometry
# VASP energy: -8.4001 eV per atom
# space group: No. 2
# magnetic moment: 1.02 μB per cell
data_KU2SiO8
_cell_length_a 4.849
_cell_length_b 4.851
_cell_length_c 7.030
_cell_angle_alpha 87.17
_cell_angle_beta 87.15
_cell_angle_gamma 84.86
_symmetry_space_group_name_H-M 'P 1'
_symmetry_Int_Tables_number 1
loop_
_symmetry_equiv_pos_as_xyz
'x,y,z'
loop_
_atom_site_label
_atom_site_type_symbol
_atom_site_fract_x
_atom_site_fract_y
_atom_site_fract_z
K1 K 0.000 0.000 0.000
U1 U 0.480 0.480 0.261
U2 U 0.520 0.520 0.739
Si1 Si 0.000 0.000 0.500
O1 O 0.180 0.802 0.679
O2 O 0.199 0.820 0.320
O3 O 0.289 0.290 0.491
O4 O 0.337 0.339 0.965
O5 O 0.663 0.661 0.035
O6 O 0.711 0.710 0.509
O7 O 0.801 0.180 0.680
O8 O 0.820 0.198 0.321

Record 10
# PBE-GGA KUSiO6, optimized geometry
# VASP energy: -7.6843 eV per atom
# space group: No. 149
# magnetic moment: 0.82 μB per cell
data_KUSiO6
_cell_length_a 5.219
_cell_length_b 5.219
_cell_length_c 6.016
_cell_angle_alpha 90.00
_cell_angle_beta 90.00
_cell_angle_gamma 120.00
_symmetry_space_group_name_H-M 'P 1'
_symmetry_Int_Tables_number 1
loop_
_symmetry_equiv_pos_as_xyz
'x,y,z'
loop_
_atom_site_label
_atom_site_type_symbol
_atom_site_fract_x
_atom_site_fract_y
_atom_site_fract_z
K1 K 0.000 0.000 0.000
U1 U 0.333 0.667 0.500
Si1 Si 0.667 0.333 0.500
O1 O 0.395 0.039 0.672
O2 O 0.395 0.357 0.328
O3 O 0.643 0.039 0.328
O4 O 0.643 0.605 0.672
O5 O 0.961 0.357 0.672
O6 O 0.961 0.605 0.328

Record 11
# PBE-GGA KUSiO5, optimized geometry
# VASP energy: -8.1826 eV per atom
# space group: No. 15
# magnetic moment: 2.00 μB per cell
data_KUSiO5
_cell_length_a 5.992
_cell_length_b 5.992
_cell_length_c 7.971
_cell_angle_alpha 105.23
_cell_angle_beta 105.23
_cell_angle_gamma 105.07
_symmetry_space_group_name_H-M 'P 1'
_symmetry_Int_Tables_number 1
loop_
_symmetry_equiv_pos_as_xyz
'x,y,z'
loop_
_atom_site_label
_atom_site_type_symbol
_atom_site_fract_x
_atom_site_fract_y
_atom_site_fract_z
K1 K 0.164 0.836 0.750
K2 K 0.836 0.164 0.250
U1 U 0.500 0.500 0.000
U2 U 0.500 0.500 0.500
Si1 Si 0.187 0.813 0.250
Si2 Si 0.813 0.187 0.750
O1 O 0.106 0.268 0.885
O2 O 0.209 0.633 0.376
O3 O 0.268 0.106 0.385
O4 O 0.367 0.791 0.124
O5 O 0.434 0.566 0.750
O6 O 0.566 0.434 0.250
O7 O 0.633 0.209 0.876
O8 O 0.732 0.894 0.615
O9 O 0.791 0.367 0.624
O10 O 0.894 0.732 0.115

Record 12
# PBE-GGA K3USi2O8, optimized geometry
# VASP energy: -7.2738 eV per atom
# space group: No. 164
# magnetic moment: 1.00 μB per cell
data_K3USi2O8
_cell_length_a 5.705
_cell_length_b 5.705
_cell_length_c 8.202
_cell_angle_alpha 90.00
_cell_angle_beta 90.00
_cell_angle_gamma 120.00
_symmetry_space_group_name_H-M 'P 1'
_symmetry_Int_Tables_number 1
loop_
_symmetry_equiv_pos_as_xyz
'x,y,z'
loop_
_atom_site_label
_atom_site_type_symbol
_atom_site_fract_x
_atom_site_fract_y
_atom_site_fract_z
K1 K 0.000 0.000 0.000
K2 K 0.333 0.667 0.769
K3 K 0.667 0.333 0.231
U1 U 0.000 0.000 0.500
Si1 Si 0.333 0.667 0.269
Si2 Si 0.667 0.333 0.731
O1 O 0.176 0.353 0.345
O2 O 0.176 0.824 0.345
O3 O 0.333 0.667 0.076
O4 O 0.353 0.176 0.655
O5 O 0.647 0.824 0.345
O6 O 0.667 0.333 0.924
O7 O 0.824 0.176 0.655
O8 O 0.824 0.647 0.655

Record 13
# PBE-GGA K3U3Si2O13, optimized geometry
# VASP energy: -8.2633 eV per atom
# space group: No. 190
# magnetic moment: 6.00 μB per cell
data_K3U3Si2O13
_cell_length_a 9.666
_cell_length_b 9.666
_cell_length_c 8.457
_cell_angle_alpha 90.00
_cell_angle_beta 90.00
_cell_angle_gamma 120.00
_symmetry_space_group_name_H-M 'P 1'
_symmetry_Int_Tables_number 1
loop_
_symmetry_equiv_pos_as_xyz
'x,y,z'
loop_
_atom_site_label
_atom_site_type_symbol
_atom_site_fract_x
_atom_site_fract_y
_atom_site_fract_z
K1 K 0.044 0.617 0.250
K2 K 0.383 0.427 0.250
K3 K 0.427 0.383 0.750
K4 K 0.573 0.956 0.250
K5 K 0.617 0.044 0.750
K6 K 0.956 0.573 0.750
U1 U 0.000 0.244 0.000
U2 U 0.000 0.244 0.500
U3 U 0.244 0.000 0.000
U4 U 0.244 0.000 0.500
U5 U 0.756 0.756 0.000
U6 U 0.756 0.756 0.500
Si1 Si 0.333 0.667 0.555
Si2 Si 0.333 0.667 0.945
Si3 Si 0.667 0.333 0.055
Si4 Si 0.667 0.333 0.445
O1 O 0.000 0.252 0.250
O2 O 0.000 0.253 0.750
O3 O 0.000 0.809 0.000
O4 O 0.000 0.809 0.500
O5 O 0.180 0.502 0.009
O6 O 0.180 0.502 0.491
O7 O 0.191 0.191 0.000
O8 O 0.191 0.191 0.500
O9 O 0.252 0.000 0.750
O10 O 0.253 0.000 0.250
O11 O 0.322 0.820 0.009
O12 O 0.322 0.820 0.491
O13 O 0.333 0.667 0.750
O14 O 0.498 0.678 0.009
O15 O 0.498 0.678 0.491
O16 O 0.502 0.180 0.509
O17 O 0.502 0.180 0.991
O18 O 0.667 0.333 0.250
O19 O 0.678 0.498 0.509
O20 O 0.678 0.498 0.991
O21 O 0.747 0.748 0.750
O22 O 0.748 0.747 0.250
O23 O 0.809 0.000 0.000
O24 O 0.809 0.000 0.500
O25 O 0.820 0.322 0.509
O26 O 0.820 0.322 0.991